Entry from Alexandria: a geometry-optimized Tb4PmEr2 structure (PBE).

Summary:
* distance to the lowest polymorph of the same formula: 0.000 eV per atom
* calculated formation energy: 0.0331 eV per atom

```
Tb4PmEr2
1.0
-0.4236 3.4789 -0.3956
4.6299 -3.8380 -7.2584
-8.4978 0.7501 -0.0468
Tb Pm Er
4 1 2
Direct
0.4102 0.7059 0.5903
0.8086 0.1685 0.7202
0.5898 0.2941 0.4097
0.1914 0.8315 0.2798
0.0000 0.0000 0.0000
0.3596 0.4304 0.1414
0.6404 0.5696 0.8586
```